Record 1
This record from OQMD describes a relaxed structure of Cu2Ag. The functional is PBE.

Cell: 4.6329 4.7151 6.0536 Å, 83.75 75.45 79.54°
With the nearest neighbours (Å) after each atom.
Space group P-1 (No. 2)
Unique sites:
Cu 0.0485 0.1143 0.2572 x2  6 Cu 2.51-2.72, 5 Ag 2.70-2.80
Cu 0.1685 0.3339 0.8554 x2  8 Cu 2.51-2.72, 3 Ag 2.67-2.77
Cu 0.3847 0.7916 0.9459 x2  9 Cu 2.56-2.83, 3 Ag 2.64-2.73
Ag 0.2706 0.5631 0.3703 x2  7 Cu 2.64-2.80, 4 Ag 2.73-2.89
Ag 0.5000 0.0000 0.5000 x1  8 Cu 2.71-2.79, 4 Ag 2.75-2.78

Results
Uncorrected energy ... -3.33 eV/atom
Calculated volume ... 125.6 Å³/cell
Energy above the most stable polymorph in this dataset ... 0.12 eV/f.u.

Record 2
This record from OQMD describes a relaxed structure of ReS2. The functional is PBE.

Cell: 10.0917 10.0917 10.0917 Å, 90.00 90.00 90.00°
With the nearest neighbours (Å) after each atom.
Space group Fd-3m (No. 227, origin choice 2)
Unique sites:
Re 0.1250 0.1250 0.1250 x8  4 S 2.18
S 0.0000 0.0000 0.0000 x16  2 Re 2.18

Results
Uncorrected energy ... -6.79 eV/atom
Calculated volume ... 1027.8 Å³/cell

Record 3
This record from OQMD describes a relaxed structure of HoTmIn. The functional is PBE.

Cell: 5.3324 5.3324 6.6624 Å, 90.00 90.00 120.00°
With the nearest neighbours (Å) after each atom.
Space group P6_3/mmc (No. 194)
Unique sites:
Ho 0.0000 0.0000 0.0000 x2  2 Ho 3.33, 6 Tm 3.50, 6 In 3.50
Tm 0.3333 0.6667 0.2500 x2  5 In 3.08-3.33
In 0.3333 0.6667 0.7500 x2  5 Tm 3.08-3.33

Results
Uncorrected energy ... -4.28 eV/atom
Calculated volume ... 164.1 Å³/cell
Energy above the most stable polymorph in this dataset ... 0.00 eV/f.u.

Record 4
This record from OQMD describes a relaxed structure of CuAg7. The functional is PBE.

Cell: 2.9176 4.0270 11.6845 Å, 90.00 90.00 90.00°
With the nearest neighbours (Å) after each atom.
Space group Pmmm (No. 47)
Unique sites:
Cu 0.0000 0.0000 0.0000 x1  10 Ag 2.84, 2 Cu 2.92
Ag 0.0000 0.0000 0.2426 x2  1 Cu 2.84, 11 Ag 2.89-3.01
Ag 0.0000 0.0000 0.5000 x1  12 Ag 2.90-3.01
Ag 0.5000 0.5000 0.1174 x2  8 Ag 2.74-2.98, 4 Cu 2.84
Ag 0.5000 0.5000 0.3721 x2  12 Ag 2.90-2.99

Results
Uncorrected energy ... -2.90 eV/atom
Calculated volume ... 137.3 Å³/cell
Energy above the most stable polymorph in this dataset ... 0.10 eV/f.u.

The highest uncorrected energy belongs to which entry? CuAg7

uncorrected energy of number 4 (CuAg7)? -2.90 eV/atom

Copy entry 1 word for word.
This record from OQMD describes a relaxed structure of Cu2Ag. The functional is PBE.

Cell: 4.6329 4.7151 6.0536 Å, 83.75 75.45 79.54°
With the nearest neighbours (Å) after each atom.
Space group P-1 (No. 2)
Unique sites:
Cu 0.0485 0.1143 0.2572 x2  6 Cu 2.51-2.72, 5 Ag 2.70-2.80
Cu 0.1685 0.3339 0.8554 x2  8 Cu 2.51-2.72, 3 Ag 2.67-2.77
Cu 0.3847 0.7916 0.9459 x2  9 Cu 2.56-2.83, 3 Ag 2.64-2.73
Ag 0.2706 0.5631 0.3703 x2  7 Cu 2.64-2.80, 4 Ag 2.73-2.89
Ag 0.5000 0.0000 0.5000 x1  8 Cu 2.71-2.79, 4 Ag 2.75-2.78

Results
Uncorrected energy ... -3.33 eV/atom
Calculated volume ... 125.6 Å³/cell
Energy above the most stable polymorph in this dataset ... 0.12 eV/f.u.